Compound: Al2SbPt
Source: the Alexandria database
Functional: PBE
Structure: relaxed

Unit cell a=3.0856 b=3.0856 c=7.8832 alpha=90.00 beta=90.00 gamma=90.00
Space group P4mm (No. 99)
One atom of each set of equivalent atoms:
Al 0.0000 0.0000 0.0000 (multiplicity 1)
Al 0.5000 0.5000 0.2333 (multiplicity 1)
Sb 0.5000 0.5000 0.6834 (multiplicity 1)
Pt 0.0000 0.0000 0.4107 (multiplicity 1)

## Properties
The volume comes out at 75 Å³/cell. The calculation puts the density at 8.20 g cm⁻³. The raw formation energy is -0.22 eV per atom. The total magnetic moment is 0.00 μB per formula unit.

=====

Compound: AlSbPt3
Source: the Alexandria database
Functional: PBE
Structure: relaxed

Unit cell a=4.6366 b=4.6366 c=4.6366 alpha=90.00 beta=90.00 gamma=90.00
Space group Pm-3m (No. 221)
One atom of each set of equivalent atoms:
Al 0.0000 0.0000 0.0000 (multiplicity 1)
Sb 0.5000 0.5000 0.5000 (multiplicity 1)
Pt 0.0000 0.0000 0.5000 (multiplicity 3)

## Properties
The volume comes out at 100 Å³/cell. The calculation puts the density at 12.23 g cm⁻³. The raw formation energy is 0.15 eV per atom. The total magnetic moment is 0.00 μB per formula unit.

=====

Compound: Al2SbPt
Source: the Alexandria database
Functional: PBE
Structure: relaxed

Unit cell a=3.0332 b=4.0075 c=7.1309 alpha=90.00 beta=90.00 gamma=90.00
Space group Pmm2 (No. 25)
One atom of each set of equivalent atoms:
Al 0.0000 0.0000 0.0000 (multiplicity 1)
Al 0.5000 0.5000 0.4007 (multiplicity 1)
Sb 0.5000 0.5000 0.7996 (multiplicity 1)
Pt 0.0000 0.0000 0.3374 (multiplicity 1)

## Properties
The volume comes out at 87 Å³/cell. The calculation puts the density at 7.10 g cm⁻³. The raw formation energy is -0.27 eV per atom. The total magnetic moment is 0.00 μB per formula unit.

=====

Compound: Al4SbPt
Source: the Alexandria database
Functional: PBE
Structure: relaxed

Unit cell a=7.5727 b=7.5727 c=7.5727 alpha=90.00 beta=90.00 gamma=90.00
Space group F-43m (No. 216)
One atom of each set of equivalent atoms:
Al 0.1243 0.1243 0.1243 (multiplicity 16)
Sb 0.0000 0.0000 0.5000 (multiplicity 4)
Pt 0.2500 0.2500 0.7500 (multiplicity 4)

## Properties
The volume comes out at 434 Å³/cell. The calculation puts the density at 6.50 g cm⁻³. The raw formation energy is 0.14 eV per atom. The total magnetic moment is 0.00 μB per formula unit.

=====

Compound: Al2SbPt
Source: the Alexandria database
Functional: PBE
Structure: relaxed

Unit cell a=3.8131 b=4.8452 c=8.0553 alpha=90.00 beta=90.00 gamma=90.00
Space group Immm (No. 71)
One atom of each set of equivalent atoms:
Al 0.0000 0.0000 0.2275 (multiplicity 4)
Sb 0.0000 0.5000 0.0000 (multiplicity 2)
Pt 0.0000 0.5000 0.5000 (multiplicity 2)

## Properties
The volume comes out at 149 Å³/cell. The calculation puts the density at 8.27 g cm⁻³. The raw formation energy is -0.15 eV per atom. The total magnetic moment is 0.00 μB per formula unit.

=====

Compound: Al2SbPt
Source: the Alexandria database
Functional: PBE
Structure: relaxed

Unit cell a=6.6909 b=6.6909 c=6.6909 alpha=90.00 beta=90.00 gamma=90.00
Space group F-43m (No. 216)
One atom of each set of equivalent atoms:
Al 0.0000 0.0000 0.0000 (multiplicity 4)
Al 0.2500 0.2500 0.2500 (multiplicity 4)
Sb 0.2500 0.2500 0.7500 (multiplicity 4)
Pt 0.0000 0.0000 0.5000 (multiplicity 4)

## Properties
The volume comes out at 300 Å³/cell. The calculation puts the density at 8.22 g cm⁻³. The raw formation energy is -0.03 eV per atom. The total magnetic moment is 0.00 μB per formula unit.

=====

Compound: Al2Sb2Pt
Source: the Alexandria database
Functional: PBE
Structure: relaxed

Unit cell a=6.6700 b=6.6700 c=4.6804 alpha=90.00 beta=90.00 gamma=90.00
Space group P4/mbm (No. 127)
One atom of each set of equivalent atoms:
Al 0.1404 0.3596 0.0000 (multiplicity 4)
Sb 0.1781 0.6781 0.5000 (multiplicity 4)
Pt 0.0000 0.0000 0.0000 (multiplicity 2)

## Properties
The volume comes out at 208 Å³/cell. As for the distance to the lowest polymorph of the same formula: 0 meV/atom. The calculation puts the density at 7.86 g cm⁻³. The raw formation energy is -0.06 eV per atom. The total magnetic moment is 0.00 μB per formula unit.

=====

Compound: Al2SbPt
Source: the Alexandria database
Functional: PBE
Structure: relaxed

Unit cell a=3.0948 b=3.0948 c=7.7582 alpha=90.00 beta=90.00 gamma=90.00
Space group P4/mmm (No. 123)
One atom of each set of equivalent atoms:
Al 0.0000 0.0000 0.1962 (multiplicity 2)
Sb 0.5000 0.5000 0.5000 (multiplicity 1)
Pt 0.5000 0.5000 0.0000 (multiplicity 1)

## Properties
The volume comes out at 74 Å³/cell. The calculation puts the density at 8.29 g cm⁻³. The raw formation energy is -0.33 eV per atom. The total magnetic moment is 0.00 μB per formula unit.

=====

Compound: Sm2AlSbPt6
Source: the Alexandria database
Functional: PBE
Structure: relaxed

Unit cell a=5.5163 b=6.5903 c=6.6165 alpha=72.67 beta=65.44 gamma=65.39
Space group P-1 (No. 2)
One atom of each set of equivalent atoms:
Sm 0.0010 0.2511 0.2469 (multiplicity 2)
Al 0.5000 0.5000 0.0000 (multiplicity 1)
Sb 0.5000 0.0000 0.5000 (multiplicity 1)
Pt 0.0152 0.6771 0.2990 (multiplicity 2)
Pt 0.3236 0.9159 0.9362 (multiplicity 2)
Pt 0.4893 0.3238 0.7016 (multiplicity 2)

## Properties
The volume comes out at 197 Å³/cell. The calculation puts the density at 13.68 g cm⁻³. The raw formation energy is -0.83 eV per atom. The total magnetic moment is 0.00 μB per formula unit.

=====

Compound: Sr2AlSbPt6
Source: the Alexandria database
Functional: PBE
Structure: relaxed

Unit cell a=12.5193 b=5.6231 c=8.6688 alpha=90.00 beta=132.53 gamma=90.00
Space group C2/m (No. 12)
One atom of each set of equivalent atoms:
Sr 0.2444 0.0000 0.2896 (multiplicity 4)
Al 0.0000 0.5000 0.0000 (multiplicity 2)
Sb 0.0000 0.0000 0.5000 (multiplicity 2)
Pt 0.0194 0.2552 0.7738 (multiplicity 8)
Pt 0.2447 0.5000 0.1077 (multiplicity 4)

## Properties
The volume comes out at 450 Å³/cell. The calculation puts the density at 11.04 g cm⁻³. The raw formation energy is -0.71 eV per atom. The total magnetic moment is 0.00 μB per formula unit.

=====

Compound: AlSb2TePt
Source: the Alexandria database
Functional: PBE
Structure: relaxed

Unit cell a=5.2062 b=5.2062 c=5.6099 alpha=90.00 beta=90.00 gamma=90.00
Space group P4/mmm (No. 123)
One atom of each set of equivalent atoms:
Al 0.0000 0.0000 0.0000 (multiplicity 1)
Sb 0.0000 0.5000 0.5000 (multiplicity 2)
Te 0.5000 0.5000 0.0000 (multiplicity 1)
Pt 0.5000 0.5000 0.5000 (multiplicity 1)

## Properties
The volume comes out at 152 Å³/cell. As for the distance to the lowest polymorph of the same formula: 0 meV/atom. The calculation puts the density at 6.48 g cm⁻³. The raw formation energy is 0.47 eV per atom. The total magnetic moment is 0.00 μB per formula unit.

=====

Compound: AlSb2TePt
Source: the Alexandria database
Functional: PBE
Structure: relaxed

Unit cell a=5.1381 b=5.1381 c=5.1402 alpha=90.00 beta=90.00 gamma=90.00
Space group P4/mmm (No. 123)
One atom of each set of equivalent atoms:
Al 0.0000 0.0000 0.0000 (multiplicity 1)
Sb 0.0000 0.5000 0.0000 (multiplicity 2)
Te 0.0000 0.0000 0.5000 (multiplicity 1)
Pt 0.5000 0.5000 0.5000 (multiplicity 1)

## Properties
The volume comes out at 136 Å³/cell. As for the distance to the lowest polymorph of the same formula: 344 meV/atom. The calculation puts the density at 7.26 g cm⁻³. The raw formation energy is 0.81 eV per atom. The total magnetic moment is 0.00 μB per formula unit.

=====

Compound: AlSbTe2Pt
Source: the Alexandria database
Functional: PBE
Structure: relaxed

Unit cell a=5.1717 b=5.1717 c=5.1494 alpha=90.00 beta=90.00 gamma=90.00
Space group P4/mmm (No. 123)
One atom of each set of equivalent atoms:
Al 0.0000 0.0000 0.0000 (multiplicity 1)
Sb 0.0000 0.0000 0.5000 (multiplicity 1)
Te 0.0000 0.5000 0.0000 (multiplicity 2)
Pt 0.5000 0.5000 0.5000 (multiplicity 1)

## Properties
The volume comes out at 138 Å³/cell. As for the distance to the lowest polymorph of the same formula: 373 meV/atom. The calculation puts the density at 7.22 g cm⁻³. The raw formation energy is 0.79 eV per atom. The total magnetic moment is 0.00 μB per formula unit.